(1)
A relaxed structure of Zr2RuAu, computed with PBE-GGA.

abc: 3.3664 4.4435 5.4538
angles: 90.00 107.53 90.00
Space group Pm (No. 6)
Asymmetric unit:
1 Zr 0.0000 0.0000 0.0000
2 Zr 0.2888 0.5000 0.5891
3 Ru 0.7433 0.0000 0.4971
4 Au 0.5640 0.5000 0.1326

=====

(2)
A relaxed structure of Zr2RuAu, computed with PBE-GGA.

abc: 3.2309 3.2309 26.7216
angles: 90.00 90.00 120.00
Space group R3m (No. 160, hexagonal axes)
Asymmetric unit:
1 Zr 0.0000 0.0000 0.0000
2 Zr 0.0000 0.0000 0.2341
3 Ru 0.0000 0.0000 0.7347
4 Au 0.0000 0.0000 0.4840

=====

(3)
A relaxed structure of Zr2RuAu, computed with PBE-GGA.

abc: 3.2350 3.2535 7.2155
angles: 90.00 90.00 90.00
Space group Pmmm (No. 47)
Asymmetric unit:
1 Zr 0.0000 0.0000 0.2299
2 Ru 0.5000 0.5000 0.0000
3 Au 0.5000 0.5000 0.5000

=====

(4)
A relaxed structure of Zr2RuAu, computed with PBE-GGA.

abc: 3.4972 3.4972 6.2397
angles: 90.00 90.00 90.00
Space group P4mm (No. 99)
Asymmetric unit:
1 Zr 0.0000 0.0000 0.0000
2 Zr 0.5000 0.5000 0.3086
3 Ru 0.5000 0.5000 0.8028
4 Au 0.0000 0.0000 0.5322

=====

(5)
A relaxed structure of Zr3RuAu, computed with PBE-GGA.

abc: 4.9758 4.9758 4.9758
angles: 90.00 90.00 90.00
Space group Pm-3m (No. 221)
Asymmetric unit:
1 Zr 0.0000 0.0000 0.5000
2 Ru 0.0000 0.0000 0.0000
3 Au 0.5000 0.5000 0.5000

=====

(6)
A relaxed structure of ZrRu2Au, computed with PBE-GGA.

abc: 6.4846 6.4846 6.4846
angles: 90.00 90.00 90.00
Space group F-43m (No. 216)
Asymmetric unit:
1 Zr 0.0000 0.0000 0.0000
2 Ru 0.0000 0.0000 0.5000
3 Ru 0.2500 0.2500 0.2500
4 Au 0.2500 0.2500 0.7500

- E above lowest polymorph (meV/atom) = 315.8

=====

(7)
A relaxed structure of Zr4RuAu, computed with PBE-GGA.

abc: 7.8725 7.8725 7.8725
angles: 90.00 90.00 90.00
Space group F-43m (No. 216)
Asymmetric unit:
1 Zr 0.1237 0.1237 0.3763
2 Ru 0.2500 0.2500 0.7500
3 Au 0.0000 0.0000 0.0000

- E above lowest polymorph (meV/atom) = 504.1

=====

(8)
A relaxed structure of ZrRu2Au, computed with PBE-GGA.

abc: 9.4999 3.0683 4.7117
angles: 90.00 103.06 90.00
Space group Cm (No. 8)
Asymmetric unit:
1 Zr 0.0000 0.0000 0.0000
2 Ru 0.2557 0.5000 0.2709
3 Ru 0.4918 0.0000 0.4692
4 Au 0.2427 0.0000 0.7456

- E above lowest polymorph (meV/atom) = 165.7

=====

(9)
A relaxed structure of ZrRu3Au, computed with PBE-GGA.

abc: 4.7707 4.7707 4.7707
angles: 90.00 90.00 90.00
Space group Pm-3m (No. 221)
Asymmetric unit:
1 Zr 0.0000 0.0000 0.0000
2 Ru 0.0000 0.0000 0.5000
3 Au 0.5000 0.5000 0.5000

- E above lowest polymorph (meV/atom) = 0.0

=====

(10)
A relaxed structure of ZrRu2Au, computed with PBE-GGA.

abc: 2.9898 3.8698 5.8067
angles: 90.00 90.00 90.00
Space group Pmm2 (No. 25)
Asymmetric unit:
1 Zr 0.0000 0.0000 0.0000
2 Ru 0.0000 0.0000 0.5501
3 Ru 0.5000 0.5000 0.7408
4 Au 0.5000 0.5000 0.2737

- E above lowest polymorph (meV/atom) = 92.5

=====

(11)
A relaxed structure of ZrRu3Au, computed with PBE-GGA.

abc: 4.7938 4.7938 4.7938
angles: 90.00 90.00 90.00
Space group Pm-3m (No. 221)
Asymmetric unit:
1 Zr 0.0000 0.0000 0.0000
2 Ru 0.0000 0.5000 0.5000
3 Au 0.5000 0.5000 0.5000

- E above lowest polymorph (meV/atom) = 115.2

=====

(12)
A relaxed structure of ZrRu2Au, computed with PBE-GGA.

abc: 3.2624 4.7576 8.7666
angles: 90.00 90.00 90.00
Space group Cmmm (No. 65)
Asymmetric unit:
1 Zr 0.0000 0.0000 0.0000
2 Ru 0.0000 0.5000 0.2393
3 Au 0.0000 0.0000 0.5000

- E above lowest polymorph (meV/atom) = 427.5

=====

no.,DFT formation energy (eV/atom)
1,-0.497
2,0.012
3,-0.530
4,-0.291
5,0.264
6,0.065
7,0.363
8,-0.085
9,1.629
10,-0.159
11,1.745
12,0.176